LaZn2 (PBE-GGA, optimized geometry); E_tot = -2.528 eV/atom; mass density = 6.0 g/cm³; total magnetic moment = 0.00 μB per formula unit; space-group type = P4/mmm
1.0
-0.964 3.464 -1.092
-2.893 -1.415 -1.937
-3.112 0.487 4.293
Zn La
2 1
direct
0.500 0.000 0.500 Zn
0.000 0.500 0.500 Zn
0.000 0.000 0.000 La